The following is a DFT calculation (PBE-GGA) of a relaxed structure of La4Ga2Ag5.

Results
Symmetry: No. 10
Total energy (eV per cell): -43.63
Total moment (μB/f.u.): 0.000

abc: 7.4526 4.3614 8.7652
angles: 90.00 92.39 90.00
Closest atoms and distances in Å follow each position.
Fractional coordinates of all 11 atoms:
La: 0.2153 0.0000 0.3668  2 Ga 3.14, 8 Ag 3.23-3.45
La: 0.2443 0.0000 0.9035  4 Ga 3.24-3.25, 6 Ag 3.27-3.42
La: 0.7557 0.0000 0.0965  4 Ga 3.24-3.25, 6 Ag 3.27-3.42
La: 0.7847 0.0000 0.6332  2 Ga 3.14, 8 Ag 3.23-3.45
Ga: 0.0762 0.5000 0.1320  1 Ga 2.53, 2 Ag 2.70-2.72
Ga: 0.9238 0.5000 0.8680  1 Ga 2.53, 2 Ag 2.70-2.72
Ag: 0.1429 0.5000 0.6300  1 Ga 2.70, 1 Ag 2.94
Ag: 0.4403 0.5000 0.1610  1 Ga 2.72, 2 Ag 2.99
Ag: 0.5000 0.5000 0.5000  4 Ag 2.94-2.99, 4 La 3.23
Ag: 0.5597 0.5000 0.8390  1 Ga 2.72, 2 Ag 2.99
Ag: 0.8571 0.5000 0.3700  1 Ga 2.70, 1 Ag 2.94

The following is a DFT calculation (PBE-GGA) of a relaxed structure of LaGa2Ag.

Results
Energy above the most stable polymorph in this dataset (eV per atom): 0.000
Symmetry: No. 63
Total moment (μB/f.u.): 0.000

abc: 4.8132 10.6843 6.7621
angles: 90.00 90.00 90.00
Closest atoms and distances in Å follow each position.
Fractional coordinates of all 16 atoms:
La: 0.0000 0.1073 0.2500  6 Ga 3.17-3.24, 5 Ag 3.20-3.51
La: 0.0000 0.8927 0.7500  6 Ga 3.17-3.24, 5 Ag 3.20-3.51
La: 0.5000 0.3927 0.7500  6 Ga 3.17-3.24, 5 Ag 3.20-3.51
La: 0.5000 0.6073 0.2500  6 Ga 3.17-3.24, 5 Ag 3.20-3.51
Ga: 0.0000 0.3843 0.0553  2 Ga 2.58-2.63, 3 Ag 2.87-2.89
Ga: 0.0000 0.3843 0.4447  2 Ga 2.58-2.63, 3 Ag 2.87-2.89
Ga: 0.0000 0.6157 0.5553  2 Ga 2.58-2.63, 3 Ag 2.87-2.89
Ga: 0.0000 0.6157 0.9447  2 Ga 2.58-2.63, 3 Ag 2.87-2.89
Ga: 0.5000 0.1157 0.5553  2 Ga 2.58-2.63, 3 Ag 2.87-2.89
Ga: 0.5000 0.1157 0.9447  2 Ga 2.58-2.63, 3 Ag 2.87-2.89
Ga: 0.5000 0.8843 0.0553  2 Ga 2.58-2.63, 3 Ag 2.87-2.89
Ga: 0.5000 0.8843 0.4447  2 Ga 2.58-2.63, 3 Ag 2.87-2.89
Ag: 0.0000 0.1949 0.7500  6 Ga 2.87-2.89, 2 La 3.20
Ag: 0.0000 0.8051 0.2500  6 Ga 2.87-2.89, 2 La 3.20
Ag: 0.5000 0.3051 0.2500  6 Ga 2.87-2.89, 2 La 3.20
Ag: 0.5000 0.6949 0.7500  6 Ga 2.87-2.89, 2 La 3.20

The following is a DFT calculation (PBE-GGA) of a relaxed structure of LaGa2Ag2.

Results
Symmetry: No. 127
Total energy (eV per cell): -34.92
Total moment (μB/f.u.): 0.000

abc: 8.2682 8.2682 3.0356
angles: 90.00 90.00 90.00
Closest atoms and distances in Å follow each position.
Fractional coordinates of all 10 atoms:
La: 0.0000 0.0000 0.0000  2 La 3.04, 4 Ga 3.21
La: 0.5000 0.5000 0.0000  2 La 3.04, 4 Ga 3.21
Ga: 0.1373 0.3627 0.0000  6 Ag 2.86, 2 Ga 3.04
Ga: 0.3627 0.8627 0.0000  6 Ag 2.86, 2 Ga 3.04
Ga: 0.6373 0.1373 0.0000  6 Ag 2.86, 2 Ga 3.04
Ga: 0.8627 0.6373 0.0000  6 Ag 2.86, 2 Ga 3.04
Ag: 0.1549 0.6549 0.5000  6 Ga 2.86, 2 Ag 3.04
Ag: 0.3451 0.1549 0.5000  6 Ga 2.86, 2 Ag 3.04
Ag: 0.6549 0.8451 0.5000  6 Ga 2.86, 2 Ag 3.04
Ag: 0.8451 0.3451 0.5000  6 Ga 2.86, 2 Ag 3.04

The following is a DFT calculation (PBE-GGA) of a relaxed structure of La4Ga12Ag.

Results
Symmetry: No. 229
Total energy (eV per cell): -68.16
Total moment (μB/f.u.): 0.000

abc: 7.7953 7.7953 7.7953
angles: 109.47 109.47 109.47
Closest atoms and distances in Å follow each position.
Fractional coordinates of all 17 atoms:
La: 0.0000 0.0000 0.5000  12 Ga 3.18-3.22
La: 0.0000 0.5000 0.0000  12 Ga 3.18-3.22
La: 0.5000 0.0000 0.0000  12 Ga 3.18-3.22
La: 0.5000 0.5000 0.5000  12 Ga 3.18-3.22
Ga: 0.0000 0.3078 0.3078  1 Ag 2.77, 4 Ga 2.84
Ga: 0.0000 0.6922 0.6922  1 Ag 2.77, 4 Ga 2.84
Ga: 0.2500 0.5000 0.7500  4 Ga 2.84
Ga: 0.2500 0.7500 0.5000  4 Ga 2.84
Ga: 0.3078 0.0000 0.3078  1 Ag 2.77, 4 Ga 2.84
Ga: 0.3078 0.3078 0.0000  1 Ag 2.77, 4 Ga 2.84
Ga: 0.5000 0.2500 0.7500  4 Ga 2.84
Ga: 0.5000 0.7500 0.2500  4 Ga 2.84
Ga: 0.6922 0.0000 0.6922  1 Ag 2.77, 4 Ga 2.84
Ga: 0.6922 0.6922 0.0000  1 Ag 2.77, 4 Ga 2.84
Ga: 0.7500 0.2500 0.5000  4 Ga 2.84
Ga: 0.7500 0.5000 0.2500  4 Ga 2.84
Ag: 0.0000 0.0000 0.0000  6 Ga 2.77